[1]
Density functional theory data (PBE-GGA) for AlCrBi2Au after structural relaxation.

a b c (Å): 5.0898 5.0898 4.7790
angles (deg): 90.00 90.00 90.00
With the nearest neighbours (Å) after each atom.
Element x y z (fractional)
1 Al 0.0000 0.0000 0.0000  2 Cr 2.39
2 Cr 0.0000 0.0000 0.5000  2 Al 2.39, 4 Bi 2.54
3 Bi 0.0000 0.5000 0.5000  2 Cr 2.54
4 Bi 0.5000 0.0000 0.5000  2 Cr 2.54
5 Au 0.5000 0.5000 0.0000  8 Bi 3.49, 4 Al 3.60

Summary:
SG = No. 123

***

[2]
Density functional theory data (PBE-GGA) for AlCuBi2Au after structural relaxation.

a b c (Å): 5.2259 5.2259 4.8752
angles (deg): 90.00 90.00 90.00
With the nearest neighbours (Å) after each atom.
Element x y z (fractional)
1 Al 0.0000 0.0000 0.0000  8 Bi 3.57, 4 Au 3.70
2 Cu 0.5000 0.5000 0.5000  2 Au 2.44, 4 Bi 2.61
3 Bi 0.0000 0.5000 0.5000  2 Cu 2.61
4 Bi 0.5000 0.0000 0.5000  2 Cu 2.61
5 Au 0.5000 0.5000 0.0000  2 Cu 2.44

Summary:
SG = No. 123

***

[3]
Density functional theory data (PBE-GGA) for AlGaBiAu2 after structural relaxation.

a b c (Å): 4.8949 4.8949 5.5493
angles (deg): 90.00 90.00 90.00
With the nearest neighbours (Å) after each atom.
Element x y z (fractional)
1 Al 0.0000 0.0000 0.0000  4 Au 2.45
2 Ga 0.5000 0.5000 0.5000  4 Bi 3.46, 8 Au 3.70
3 Bi 0.0000 0.0000 0.5000  2 Al 2.77
4 Au 0.0000 0.5000 0.0000  2 Al 2.45
5 Au 0.5000 0.0000 0.0000  2 Al 2.45

Summary:
SG = No. 123

***

Calculated total DFT energy (no corrections), -22.21; -16.53; -15.82 eV per cell (same order as the records).
Calculated formation energy from the elements, 42.4; 45.3; 26.8 kJ per mole of atoms (same order as the records).
Calculated size of the total moment, 0.000; 0.000; 0.000 μB per atom (same order as the records).